This record from OQMD via LeMat-Bulk describes YHo2Si4Au4 after structural relaxation. The functional is PBE.

Values from the calculation:
- Calculated density: 10032 kg/m³
- VASP energy: -5.286 eV/atom
- Crystal system: orthorhombic

a b c (Å): 12.863 12.863 12.863
angles (deg): 161.54 161.09 26.55
Positions (direct):
Au (0.252, 0.252, 0.000)
Au (0.748, 0.748, 0.000)
Au (0.906, 0.406, 0.500)
Au (0.094, 0.594, 0.500)
Ho (0.648, 0.148, 0.500)
Ho (0.352, 0.852, 0.500)
Si (0.453, 0.453, 0.000)
Si (0.547, 0.547, 0.000)
Si (0.810, 0.310, 0.500)
Si (0.190, 0.690, 0.500)
Y (0.000, 0.000, 0.000)